(1)
Computed, not measured: a geometry-optimized SnP2Pt2 structure at the PBE level of DFT.

Output
ΔE_f ... -0.15 eV/atom
E_tot ... -27.64 eV/cell
N(E_F) ... 0.424 states/eV/atom
Relative energy among the computed polymorphs ... 0.00 kcal/mol of atoms

Cell lengths 4.397, 4.397, 5.586 Å; angles 66.82, 66.82, 90.00 degrees
Element x y z (fractional)
Sn 0.000 0.000 0.000
Pt 0.250 0.750 0.500
Pt 0.750 0.250 0.500
P 0.625 0.625 0.749
P 0.375 0.375 0.251

=====

(2)
Computed, not measured: a geometry-optimized LaAl2MoRh structure at the PBE level of DFT.

Output
ΔE_f ... 0.06 eV/atom
E_tot ... -30.29 eV/cell
N(E_F) ... 0.670 states/eV/atom

Cell lengths 4.881, 4.761, 4.881 Å; angles 90.00, 90.00, 90.00 degrees
Element x y z (fractional)
Rh 0.000 0.500 0.000
La 0.500 0.500 0.500
Al 0.000 0.000 0.500
Al 0.500 0.000 0.000
Mo 0.000 0.000 0.000

=====

(3)
Computed, not measured: a geometry-optimized NiSbTe2Mo structure at the PBE level of DFT.

Output
Raw formation energy ... 4.8 eV per formula unit
E_tot ... -22.24 eV/cell
N(E_F) ... 1.630 states/eV/atom
Relative energy among the computed polymorphs ... 3.30 kcal/mol of atoms

Cell lengths 5.228, 5.228, 5.255 Å; angles 90.00, 90.00, 90.00 degrees
Element x y z (fractional)
Ni 0.500 0.500 0.500
Te 0.500 0.000 0.000
Te 0.000 0.500 0.000
Mo 0.000 0.000 0.000
Sb 0.000 0.000 0.500

=====

(4)
Computed, not measured: a geometry-optimized In2FeSi structure at the PBE level of DFT.

Output
Raw formation energy ... 1.9 eV per formula unit
E_tot ... -17.45 eV/cell
N(E_F) ... 1.126 states/eV/atom

Cell lengths 5.083, 5.083, 3.039 Å; angles 90.00, 90.00, 107.83 degrees
Element x y z (fractional)
In 0.000 0.000 0.000
In 0.500 0.500 0.000
Fe 0.000 0.500 0.500
Si 0.500 0.000 0.500

=====

(5)
Computed, not measured: a geometry-optimized Ac2SiSn3 structure at the PBE level of DFT.

Output
Raw formation energy ... -2.9 eV per formula unit
E_tot ... -28.55 eV/cell
N(E_F) ... 0.491 states/eV/atom

Cell lengths 4.501, 4.495, 9.190 Å; angles 90.00, 90.00, 90.00 degrees
Element x y z (fractional)
Sn 0.500 0.000 0.179
Sn 0.500 0.500 0.643
Sn 0.500 0.000 0.843
Ac 0.000 0.500 0.017
Ac 0.000 0.000 0.477
Si 0.500 0.500 0.341

=====

(6)
Computed, not measured: a geometry-optimized B2C structure at the PBE level of DFT.

Output
ΔE_f ... 0.43 eV/atom
E_tot ... -85.21 eV/cell
N(E_F) ... 0.142 states/eV/atom
Relative energy among the computed polymorphs ... 5.54 kcal/mol of atoms

Cell lengths 6.285, 6.285, 5.729 Å; angles 71.64, 71.64, 24.41 degrees
Element x y z (fractional)
B 0.977 0.977 0.427
B 0.665 0.665 0.208
B 0.347 0.347 0.328
B 0.109 0.109 0.780
B 0.352 0.352 0.828
B 0.737 0.737 0.402
B 0.091 0.091 0.139
B 0.723 0.723 0.891
C 0.418 0.418 0.533
C 0.668 0.668 0.680
C 0.992 0.992 0.005
C 0.421 0.421 0.028

=====

(7)
Computed, not measured: a geometry-optimized MnSnPS structure at the PBE level of DFT.

Output
Raw formation energy ... -0.6 eV per formula unit
E_tot ... -69.78 eV/cell
N(E_F) ... 0.663 states/eV/atom
Relative energy among the computed polymorphs ... 2.76 kcal/mol of atoms

Cell lengths 3.788, 3.788, 18.889 Å; angles 90.00, 90.00, 120.00 degrees
Element x y z (fractional)
Sn 0.000 0.000 0.530
Sn 0.667 0.333 0.864
Sn 0.333 0.667 0.197
P 0.000 0.000 0.795
P 0.333 0.667 0.462
P 0.667 0.333 0.129
Mn 0.667 0.333 0.005
Mn 0.333 0.667 0.339
Mn 0.000 0.000 0.672
S 0.667 0.333 0.334
S 0.000 0.000 0.001
S 0.333 0.667 0.667

=====

(8)
Computed, not measured: a geometry-optimized Pr4Se2SCl2 structure at the PBE level of DFT.

Output
Raw formation energy ... -16.1 eV per formula unit
E_tot ... -50.02 eV/cell
N(E_F) ... 0.190 states/eV/atom

Cell lengths 4.128, 8.199, 7.681 Å; angles 111.78, 90.00, 104.58 degrees
Element x y z (fractional)
Cl 0.324 0.647 0.005
Cl 0.676 0.353 0.995
Pr 0.774 0.548 0.719
Pr 0.502 0.005 0.266
Pr 0.498 0.995 0.734
Pr 0.226 0.452 0.281
Se 0.120 0.240 0.556
Se 0.880 0.760 0.444
S 0.000 0.000 0.000

=====

(9)
Computed, not measured: a geometry-optimized Bi2H2Cl5 structure at the PBE level of DFT.

Output
E_tot ... -29.23 eV/cell
N(E_F) ... 0.135 states/eV/atom

Cell lengths 7.276, 7.276, 8.595 Å; angles 104.89, 104.89, 113.14 degrees
Element x y z (fractional)
H 0.475 0.475 0.950
H 0.525 0.525 0.050
Cl 0.000 0.000 0.000
Cl 0.377 0.877 0.754
Cl 0.623 0.123 0.246
Cl 0.123 0.623 0.246
Cl 0.877 0.377 0.754
Bi 0.773 0.227 0.000
Bi 0.227 0.773 0.000

=====

(10)
Computed, not measured: a geometry-optimized Nb2O5 structure at the PBE level of DFT.

Output
Raw formation energy ... -17.8 eV per formula unit
E_tot ... -502.00 eV/cell
Relative energy among the computed polymorphs ... 0.00 kcal/mol of atoms

Cell lengths 3.855, 14.727, 15.441 Å; angles 73.21, 82.83, 82.48 degrees
Element x y z (fractional)
O 0.855 0.377 0.913
O 0.870 0.186 0.074
O 0.589 0.767 0.055
O 0.727 0.485 0.062
O 0.025 0.732 0.217
O 0.985 0.090 0.939
O 0.187 0.262 0.363
O 0.669 0.022 0.640
O 0.909 0.815 0.368
O 0.207 0.086 0.499
O 0.949 0.457 0.645
O 0.793 0.914 0.501
O 0.304 0.169 0.224
O 0.715 0.656 0.914
O 0.934 0.632 0.500
O 0.575 0.939 0.911
O 0.832 0.557 0.780
O 0.066 0.368 0.500
O 0.425 0.061 0.089
O 0.696 0.831 0.776
O 0.051 0.543 0.355
O 0.377 0.602 0.644
O 0.411 0.233 0.945
O 0.481 0.684 0.353
O 0.168 0.443 0.220
O 0.975 0.268 0.783
O 0.285 0.344 0.086
O 0.898 0.980 0.224
O 0.273 0.515 0.938
O 0.130 0.814 0.926
O 0.015 0.910 0.061
O 0.770 0.102 0.359
O 0.813 0.738 0.637
O 0.623 0.398 0.356
O 0.230 0.898 0.641
O 0.331 0.978 0.360
O 0.102 0.020 0.776
O 0.145 0.623 0.087
O 0.091 0.185 0.632
O 0.519 0.316 0.647
Nb 0.792 0.514 0.902
Nb 0.342 0.216 0.101
Nb 0.979 0.670 0.371
Nb 0.021 0.330 0.629
Nb 0.658 0.784 0.899
Nb 0.248 0.137 0.368
Nb 0.075 0.752 0.097
Nb 0.845 0.938 0.371
Nb 0.925 0.248 0.903
Nb 0.888 0.591 0.633
Nb 0.112 0.409 0.367
Nb 0.061 0.979 0.899
Nb 0.939 0.021 0.101
Nb 0.155 0.062 0.629
Nb 0.752 0.863 0.632
Nb 0.208 0.486 0.098

=====

(11)
Computed, not measured: a geometry-optimized SrU2RhN4 structure at the PBE level of DFT.

Output
Raw formation energy ... -8.1 eV per formula unit
E_tot ... -146.06 eV/cell
N(E_F) ... 0.806 states/eV/atom

Cell lengths 3.517, 6.054, 11.771 Å; angles 90.00, 90.00, 106.88 degrees
Element x y z (fractional)
Sr 0.101 0.202 0.750
Sr 0.899 0.798 0.250
Rh 0.165 0.329 0.250
Rh 0.835 0.671 0.750
N 0.000 0.000 0.000
N 0.740 0.480 0.908
N 0.563 0.127 0.250
N 0.260 0.520 0.092
N 0.260 0.520 0.408
N 0.000 0.000 0.500
N 0.437 0.873 0.750
N 0.740 0.480 0.592
U 0.370 0.740 0.942
U 0.370 0.740 0.558
U 0.630 0.260 0.058
U 0.630 0.260 0.442

=====

(12)
Computed, not measured: a geometry-optimized CaGeH2N structure at the PBE level of DFT.

Output
E_tot ... -19.37 eV/cell
N(E_F) ... 0.758 states/eV/atom

Cell lengths 3.479, 6.841, 3.479 Å; angles 90.00, 90.00, 90.00 degrees
Element x y z (fractional)
H 0.000 0.000 0.500
H 0.500 0.000 0.000
N 0.500 0.500 0.500
Ge 0.000 0.000 0.000
Ca 0.000 0.500 0.000